# 1
{
  "formula": "Tc5Mo",
  "functional": "PBEsol",
  "state": "optimized geometry",
  "e_form_ev_per_atom": 0.077,
  "dos_ef_per_ev_fu": 7.0,
  "de_polymorph_mev_per_atom": 8,
  "cell": [[2.731, 0.000, 0.000], [0.000, 4.395, 0.000], [-1.366, 0.000, 7.095]],
  "species": ["Tc", "Tc", "Tc", "Tc", "Tc", "Mo"],
  "fractional_positions": [[0.112, 0.500, 0.224], [0.443, 0.500, 0.886], [0.669, 0.000, 0.338], [0.778, 0.500, 0.557], [0.331, 0.000, 0.662], [0.000, 0.000, 0.000]]
}

=====

# 2
{
  "formula": "SrCrRe2",
  "functional": "PBEsol",
  "state": "optimized geometry",
  "e_form_ev_per_atom": 1.088,
  "dos_ef_per_ev_fu": 3.6,
  "de_polymorph_mev_per_atom": 206,
  "cell": [[4.539, 0.000, 0.000], [2.269, 3.931, 0.000], [2.269, 1.310, 3.706]],
  "species": ["Sr", "Re", "Re", "Cr"],
  "fractional_positions": [[0.500, 0.500, 0.500], [0.000, 0.000, 0.000], [0.250, 0.250, 0.250], [0.750, 0.750, 0.750]]
}

=====

# 3
{
  "formula": "SrMg2P",
  "functional": "PBEsol",
  "state": "optimized geometry",
  "e_form_ev_per_atom": -0.369,
  "dos_ef_per_ev_fu": 1.5,
  "cell": [[-3.337, -1.835, 1.782], [0.168, -1.218, 4.021], [-3.479, 5.365, 3.968]],
  "species": ["Mg", "Mg", "Sr", "P"],
  "fractional_positions": [[0.982, 0.982, 0.055], [0.227, 0.227, 0.319], [0.769, 0.769, 0.693], [0.522, 0.522, 0.434]]
}

=====

# 4
{
  "formula": "TlCrAg",
  "functional": "PBEsol",
  "state": "optimized geometry",
  "e_form_ev_per_atom": 0.739,
  "dos_ef_per_ev_fu": 2.2,
  "cell": [[-3.429, -0.136, -2.895], [-2.775, -3.529, -0.029], [-4.212, 0.444, 1.488]],
  "species": ["Tl", "Ag", "Cr"],
  "fractional_positions": [[0.000, 0.000, 0.000], [0.500, 0.500, 0.500], [0.250, 0.250, 0.250]]
}

=====

# 5
{
  "formula": "Ba2ZnNi",
  "functional": "PBEsol",
  "state": "optimized geometry",
  "e_form_ev_per_atom": 0.276,
  "dos_ef_per_ev_fu": 4.0,
  "cell": [[5.224, 0.000, 0.000], [2.612, 4.524, 0.000], [2.612, 1.508, 4.266]],
  "species": ["Ni", "Ba", "Ba", "Zn"],
  "fractional_positions": [[0.500, 0.500, 0.500], [0.750, 0.750, 0.750], [0.000, 0.000, 0.000], [0.250, 0.250, 0.250]]
}

=====

# 6
{
  "formula": "Zr2AlZn",
  "functional": "PBEsol",
  "state": "optimized geometry",
  "e_form_ev_per_atom": -0.363,
  "dos_ef_per_ev_fu": 2.8,
  "cell": [[-1.492, 2.204, -1.379], [0.029, -2.652, -4.272], [-4.201, -1.328, 2.423]],
  "species": ["Zr", "Zr", "Al", "Zn"],
  "fractional_positions": [[0.000, 0.500, 0.000], [0.000, 0.000, 0.500], [0.500, 0.000, 0.000], [0.500, 0.500, 0.500]]
}

=====

# 7
{
  "formula": "TcIrPb",
  "functional": "PBEsol",
  "state": "optimized geometry",
  "e_form_ev_per_atom": 0.399,
  "dos_ef_per_ev_fu": 1.3,
  "cell": [[-1.682, 1.337, -2.010], [-1.020, -2.614, -0.885], [-3.134, 1.030, 5.462]],
  "species": ["Ir", "Tc", "Pb"],
  "fractional_positions": [[0.979, 0.979, 0.957], [0.352, 0.352, 0.704], [0.669, 0.669, 0.339]]
}

=====

# 8
{
  "formula": "MnNi6Au",
  "functional": "PBEsol",
  "state": "optimized geometry",
  "e_form_ev_per_atom": 0.022,
  "dos_ef_per_ev_fu": 11.0,
  "cell": [[-6.095, -0.285, 1.061], [1.493, -3.881, -4.589], [1.521, -7.394, 6.747]],
  "species": ["Ni", "Ni", "Ni", "Ni", "Ni", "Ni", "Ni", "Ni", "Ni", "Ni", "Ni", "Ni", "Ni", "Ni", "Ni", "Ni", "Ni", "Ni", "Ni", "Ni", "Ni", "Ni", "Ni", "Ni", "Mn", "Mn", "Mn", "Mn", "Au", "Au", "Au", "Au"],
  "fractional_positions": [[0.500, 0.500, 0.500], [0.872, 0.619, 0.879], [0.500, 0.500, 0.000], [0.254, 0.746, 0.758], [0.254, 0.746, 0.242], [0.746, 0.254, 0.242], [0.128, 0.381, 0.121], [0.381, 0.128, 0.879], [0.133, 0.380, 0.630], [0.620, 0.867, 0.370], [0.867, 0.620, 0.630], [0.133, 0.380, 0.370], [0.746, 0.254, 0.758], [0.380, 0.133, 0.630], [0.380, 0.133, 0.370], [0.872, 0.619, 0.121], [0.000, 0.000, 0.000], [0.128, 0.381, 0.879], [0.619, 0.872, 0.121], [0.619, 0.872, 0.879], [0.620, 0.867, 0.630], [0.867, 0.620, 0.370], [0.381, 0.128, 0.121], [0.000, 0.000, 0.500], [0.500, 0.500, 0.246], [0.750, 0.250, 0.000], [0.250, 0.750, 0.000], [0.500, 0.500, 0.754], [0.752, 0.248, 0.500], [0.248, 0.752, 0.500], [0.000, 0.000, 0.248], [0.000, 0.000, 0.752]]
}